Mg2Os2Br, relaxed, DFT PBE-GGA; DFT total energy = -4.92 eV per atom; crystal system = tetragonal; total moment = 0.000 μB per atom; polymorph energy (0 for the lowest one) = 0 meV per atom; E_form (uncorrected) = 52.78 kJ per mole of atoms
1.0
8.0051 0.0000 0.0000
0.0000 8.0051 0.0000
0.0000 0.0000 2.9602
Br Os Mg
2 4 4
direct
0.5000 0.5000 0.0000 Br
0.0000 0.0000 0.0000 Br
0.6019 0.1019 0.0000 Os
0.3981 0.8981 0.0000 Os
0.8981 0.6019 0.0000 Os
0.1019 0.3981 0.0000 Os
0.1846 0.6846 0.5000 Mg
0.6846 0.8154 0.5000 Mg
0.8154 0.3154 0.5000 Mg
0.3154 0.1846 0.5000 Mg



Mg2OsBr, relaxed, DFT PBE-GGA; DFT total energy = -3.80 eV per atom; crystal system = orthorhombic; total moment = 0.000 μB per atom; polymorph energy (0 for the lowest one) = 286 meV per atom; E_form (uncorrected) = 21.32 kJ per mole of atoms
1.0
-6.6123 1.3805 0.4862
-4.1474 0.7714 5.2980
5.4520 1.5139 -3.7213
Br Mg Os
1 2 1
direct
0.3196 0.8196 0.5000 Br
0.0132 0.0132 0.0000 Mg
0.6732 0.1732 0.5000 Mg
0.4940 0.4940 0.0000 Os



Mg2OsBr, relaxed, DFT PBE-GGA; DFT total energy = -3.47 eV per atom; crystal system = tetragonal; total moment = 0.001 μB per atom; polymorph energy (0 for the lowest one) = 616 meV per atom; E_form (uncorrected) = 53.09 kJ per mole of atoms
1.0
-1.3063 -1.5986 2.2800
1.2748 -2.5823 -1.0802
6.6151 1.2992 4.7009
Mg Os Br
2 1 1
direct
0.0000 0.0000 0.9907 Mg
0.5000 0.5000 0.2906 Mg
0.0000 0.0000 0.4973 Os
0.5000 0.5000 0.7214 Br



MgOsBr2, relaxed, DFT PBE-GGA; DFT total energy = -4.04 eV per atom; crystal system = monoclinic; total moment = 0.000 μB per atom; polymorph energy (0 for the lowest one) = 0 meV per atom; E_form (uncorrected) = -0.14 kJ per mole of atoms
1.0
-1.7798 2.2059 -1.5713
0.8432 -1.8987 -3.6205
-5.9279 -5.0130 -0.3229
Br Os Mg
2 1 1
direct
0.5000 0.1794 0.3491 Br
0.0000 0.8545 0.9122 Br
0.5000 0.9631 0.6709 Os
0.0000 0.5029 0.5677 Mg



- Look up the polymorph energy (0 for the lowest one) of the first one.
  0 meV per atom



- E_form (uncorrected) of number 3 (Mg2OsBr)?
  53.09 kJ per mole of atoms